i:
Below is an optimized crystal structure of PmZnGe, with properties calculated at the PBE-GGA level.

Density of states at the Fermi level   0.441 states/eV per atom
SG   P-6m2 (187)

a b c (Å): 4.2056 4.2325 4.2325
angles (deg): 120.00 90.00 90.00
With the nearest neighbours (Å) after each atom.
Element x y z (fractional)
1 Ge 0.1664 0.0000 0.0000  3 Zn 2.44
2 Zn 0.1671 0.6667 0.3333  3 Ge 2.44
3 Pm 0.6666 0.3333 0.6667  6 Zn 3.22-3.23, 6 Ge 3.22


ii:
Below is an optimized crystal structure of PmZnGe, with properties calculated at the PBE-GGA level.

Density of states at the Fermi level   0.287 states/eV per atom
SG   P-1 (2)

a b c (Å): 4.1004 5.6851 8.2138
angles (deg): 120.85 104.37 111.10
With the nearest neighbours (Å) after each atom.
Element x y z (fractional)
1 Pm 0.5649 0.8815 0.2498  5 Zn 3.02-3.08, 4 Ge 3.19-3.20
2 Pm 0.4351 0.1185 0.7502  5 Zn 3.02-3.08, 4 Ge 3.19-3.20
3 Ge 0.0000 0.0000 0.0000  4 Zn 2.77-2.78, 2 Ge 2.97
4 Ge 0.5000 0.5000 0.5000  4 Zn 2.77, 2 Ge 2.97
5 Zn 0.8567 0.4633 0.2503  4 Ge 2.77-2.78, 5 Pm 3.02-3.08
6 Zn 0.1433 0.5367 0.7497  4 Ge 2.77-2.78, 5 Pm 3.02-3.08


Which one is most stable, and which one is least stable? i is the most stable of them, while ii is the least stable.